Compound: KLiAg2F8
Source: Alexandria via LeMat-Bulk
Functional: PBE-GGA
Structure: optimized geometry

Calculated values
Its crystal system is tetragonal. As for the space-group type: I-4 (82). The formation energy without anion corrections comes out at -19.54 eV/f.u.

abc: 6.596 6.596 6.596
angles: 126.99 126.99 78.26
Fractional coordinates of all 12 atoms:
K (0.000, 0.000, 0.000)
Li (0.250, 0.750, 0.500)
Ag (0.500, 0.500, 0.000)
Ag (0.750, 0.250, 0.500)
F (0.032, 0.067, 0.608)
F (0.191, 0.421, 0.593)
F (0.403, 0.809, 0.231)
F (0.459, 0.424, 0.392)
F (0.576, 0.968, 0.035)
F (0.579, 0.172, 0.769)
F (0.828, 0.597, 0.407)
F (0.933, 0.541, 0.965)


Compound: MgTi2Te
Source: Alexandria via LeMat-Bulk
Functional: PBE-GGA
Structure: optimized geometry

Calculated values
Its crystal system is cubic. Its density of states at the Fermi level is 22.67 states/eV per cell. Its energy above the lowest structure with this stoichiometry is 0 meV/atom. As for the space-group type: Fm-3m (225). The formation energy without anion corrections comes out at 0.37 eV/f.u.

abc: 6.738 6.738 6.738
angles: 90.00 90.00 90.00
Fractional coordinates of all 16 atoms:
Mg (0.000, 0.000, 0.000)
Mg (0.000, 0.500, 0.500)
Mg (0.500, 0.000, 0.500)
Mg (0.500, 0.500, 0.000)
Ti (0.250, 0.250, 0.250)
Ti (0.250, 0.250, 0.750)
Ti (0.250, 0.750, 0.250)
Ti (0.250, 0.750, 0.750)
Ti (0.750, 0.250, 0.250)
Ti (0.750, 0.250, 0.750)
Ti (0.750, 0.750, 0.250)
Ti (0.750, 0.750, 0.750)
Te (0.000, 0.000, 0.500)
Te (0.000, 0.500, 0.000)
Te (0.500, 0.000, 0.000)
Te (0.500, 0.500, 0.500)


Compound: MnMo2Os
Source: Alexandria via LeMat-Bulk
Functional: PBE-GGA
Structure: optimized geometry

Calculated values
Its crystal system is tetragonal. Its density of states at the Fermi level is 4.06 states/eV per cell. Its energy above the lowest structure with this stoichiometry is 39 meV/atom. As for the space-group type: P4/mmm (123).

abc: 3.855 3.855 3.933
angles: 90.00 90.00 90.00
Fractional coordinates of all 4 atoms:
Mn (0.000, 0.000, 0.000)
Mo (0.000, 0.500, 0.500)
Mo (0.500, 0.000, 0.500)
Os (0.500, 0.500, 0.000)


Compound: BaLaPrIn
Source: Alexandria via LeMat-Bulk
Functional: PBE-GGA
Structure: optimized geometry

Calculated values
Its crystal system is cubic. Its density of states at the Fermi level is 22.85 states/eV per cell. As for the space-group type: F-43m (216). For the raw total energy, the calculation gives -58.06 eV for the cell shown.

abc: 8.208 8.208 8.208
angles: 90.00 90.00 90.00
Fractional coordinates of all 16 atoms:
Ba (0.000, 0.000, 0.000)
Ba (0.000, 0.500, 0.500)
Ba (0.500, 0.000, 0.500)
Ba (0.500, 0.500, 0.000)
La (0.250, 0.250, 0.250)
La (0.250, 0.750, 0.750)
La (0.750, 0.250, 0.750)
La (0.750, 0.750, 0.250)
Pr (0.250, 0.250, 0.750)
Pr (0.250, 0.750, 0.250)
Pr (0.750, 0.250, 0.250)
Pr (0.750, 0.750, 0.750)
In (0.000, 0.000, 0.500)
In (0.000, 0.500, 0.000)
In (0.500, 0.000, 0.000)
In (0.500, 0.500, 0.500)


Compound: PuCoAs3
Source: Alexandria via LeMat-Bulk
Functional: PBE-GGA
Structure: optimized geometry

Calculated values
Its crystal system is orthorhombic. Its density of states at the Fermi level is 37.07 states/eV per cell. As for the space-group type: Pbcm (57). For the raw total energy, the calculation gives -152.76 eV for the cell shown.

abc: 11.825 5.599 5.473
angles: 90.00 90.00 90.00
Fractional coordinates of all 20 atoms:
Pu (0.193, 0.005, 0.250)
Pu (0.193, 0.495, 0.750)
Pu (0.807, 0.505, 0.250)
Pu (0.807, 0.995, 0.750)
Co (0.412, 0.750, 0.000)
Co (0.412, 0.750, 0.500)
Co (0.588, 0.250, 0.000)
Co (0.588, 0.250, 0.500)
As (0.002, 0.750, 0.000)
As (0.002, 0.750, 0.500)
As (0.282, 0.505, 0.250)
As (0.282, 0.995, 0.750)
As (0.438, 0.104, 0.250)
As (0.438, 0.396, 0.750)
As (0.562, 0.604, 0.250)
As (0.562, 0.896, 0.750)
As (0.718, 0.005, 0.250)
As (0.718, 0.495, 0.750)
As (0.998, 0.250, 0.000)
As (0.998, 0.250, 0.500)


Compound: Ca4HoPb5
Source: Alexandria via LeMat-Bulk
Functional: PBE-GGA
Structure: optimized geometry

Calculated values
Its crystal system is tetragonal. Its density of states at the Fermi level is 7.80 states/eV per cell. As for the space-group type: P4/mmm (123). For the raw total energy, the calculation gives -36.07 eV for the cell shown.

abc: 3.599 3.599 22.871
angles: 90.00 90.00 90.00
Fractional coordinates of all 10 atoms:
Ca (0.000, 0.000, 0.101)
Ca (0.000, 0.000, 0.301)
Ca (0.000, 0.000, 0.699)
Ca (0.000, 0.000, 0.899)
Ho (0.000, 0.000, 0.500)
Pb (0.500, 0.500, 0.000)
Pb (0.500, 0.500, 0.202)
Pb (0.500, 0.500, 0.404)
Pb (0.500, 0.500, 0.596)
Pb (0.500, 0.500, 0.798)


Number 1: volume 14.77 A^3/atom, total magnetization 0.00 μB/atom. Number 2: volume 19.12 A^3/atom, total magnetization 0.08 μB/atom. Number 3: volume 14.61 A^3/atom, total magnetization 0.51 μB/atom. Number 4: volume 34.56 A^3/atom, total magnetization 0.49 μB/atom. Number 5: volume 18.12 A^3/atom, total magnetization 0.95 μB/atom. Number 6: volume 29.63 A^3/atom, total magnetization 0.00 μB/atom.